# PBE Rb2Pu2ScSe6, relaxed
data_Rb2Pu2ScSe6
_chemical_formula_sum 'Rb2 Pu2 Sc1 Se6'
_symmetry_space_group_name_H-M 'P 1'
_symmetry_Int_Tables_number 1
_cell_length_a 7.136
_cell_length_b 7.136
_cell_length_c 8.498
_cell_angle_alpha 98.17
_cell_angle_beta 98.17
_cell_angle_gamma 119.76
loop_
_symmetry_equiv_pos_as_xyz
'x,y,z'
loop_
_atom_site_label
_atom_site_type_symbol
_atom_site_fract_x
_atom_site_fract_y
_atom_site_fract_z
Rb1 Rb 0.168 0.832 0.000
Rb2 Rb 0.832 0.168 0.000
Pu1 Pu 0.333 0.667 0.500
Pu2 Pu 0.667 0.333 0.500
Sc1 Sc 0.000 0.000 0.500
Se1 Se 0.064 0.387 0.688
Se2 Se 0.259 0.259 0.313
Se3 Se 0.387 0.064 0.688
Se4 Se 0.613 0.936 0.312
Se5 Se 0.741 0.741 0.687
Se6 Se 0.936 0.613 0.312
# ΔE_f (raw) = -1.469 eV per atom


# PBE MoRh4, relaxed
data_MoRh4
_chemical_formula_sum 'Mo4 Rh16'
_symmetry_space_group_name_H-M 'P 1'
_symmetry_Int_Tables_number 1
_cell_length_a 9.438
_cell_length_b 9.438
_cell_length_c 4.425
_cell_angle_alpha 90.00
_cell_angle_beta 90.00
_cell_angle_gamma 90.00
loop_
_symmetry_equiv_pos_as_xyz
'x,y,z'
loop_
_atom_site_label
_atom_site_type_symbol
_atom_site_fract_x
_atom_site_fract_y
_atom_site_fract_z
Mo1 Mo 0.235 0.265 0.000
Mo2 Mo 0.265 0.765 0.000
Mo3 Mo 0.735 0.235 0.000
Mo4 Mo 0.765 0.735 0.000
Rh1 Rh 0.000 0.000 0.243
Rh2 Rh 0.000 0.000 0.757
Rh3 Rh 0.074 0.239 0.500
Rh4 Rh 0.154 0.654 0.500
Rh5 Rh 0.239 0.926 0.500
Rh6 Rh 0.261 0.426 0.500
Rh7 Rh 0.346 0.154 0.500
Rh8 Rh 0.426 0.739 0.500
Rh9 Rh 0.500 0.500 0.243
Rh10 Rh 0.500 0.500 0.757
Rh11 Rh 0.574 0.261 0.500
Rh12 Rh 0.654 0.846 0.500
Rh13 Rh 0.739 0.574 0.500
Rh14 Rh 0.761 0.074 0.500
Rh15 Rh 0.846 0.346 0.500
Rh16 Rh 0.926 0.761 0.500
# energy of formation = 0.97 eV/atom


# PBE Be2AlAg, relaxed
data_Be2AlAg
_chemical_formula_sum 'Be2 Al1 Ag1'
_symmetry_space_group_name_H-M 'P 1'
_symmetry_Int_Tables_number 1
_cell_length_a 4.457
_cell_length_b 4.457
_cell_length_c 4.457
_cell_angle_alpha 130.14
_cell_angle_beta 130.14
_cell_angle_gamma 73.18
loop_
_symmetry_equiv_pos_as_xyz
'x,y,z'
loop_
_atom_site_label
_atom_site_type_symbol
_atom_site_fract_x
_atom_site_fract_y
_atom_site_fract_z
Be1 Be 0.250 0.750 0.500
Be2 Be 0.750 0.250 0.500
Al1 Al 0.000 0.000 0.000
Ag1 Ag 0.500 0.500 0.000
# energy of formation = 0.23 eV/atom


# PBE CaNiW2, relaxed
data_CaNiW2
_chemical_formula_sum 'Ca1 Ni1 W2'
_symmetry_space_group_name_H-M 'P 1'
_symmetry_Int_Tables_number 1
_cell_length_a 3.227
_cell_length_b 3.227
_cell_length_c 7.080
_cell_angle_alpha 90.00
_cell_angle_beta 90.00
_cell_angle_gamma 90.00
loop_
_symmetry_equiv_pos_as_xyz
'x,y,z'
loop_
_atom_site_label
_atom_site_type_symbol
_atom_site_fract_x
_atom_site_fract_y
_atom_site_fract_z
Ca1 Ca 0.000 0.000 0.000
Ni1 Ni 0.500 0.500 0.287
W1 W 0.000 0.000 0.487
W2 W 0.500 0.500 0.673
# ΔE to the lowest computed polymorph = 0.000 eV/atom
# energy of formation = 0.44 eV/atom


# PBE Ce6PuIn3, relaxed
data_Ce6PuIn3
_chemical_formula_sum 'Ce12 Pu2 In6'
_symmetry_space_group_name_H-M 'P 1'
_symmetry_Int_Tables_number 1
_cell_length_a 8.319
_cell_length_b 8.319
_cell_length_c 8.319
_cell_angle_alpha 77.62
_cell_angle_beta 77.62
_cell_angle_gamma 77.62
loop_
_symmetry_equiv_pos_as_xyz
'x,y,z'
loop_
_atom_site_label
_atom_site_type_symbol
_atom_site_fract_x
_atom_site_fract_y
_atom_site_fract_z
Ce1 Ce 0.027 0.027 0.693
Ce2 Ce 0.027 0.693 0.027
Ce3 Ce 0.306 0.306 0.641
Ce4 Ce 0.306 0.641 0.306
Ce5 Ce 0.307 0.973 0.973
Ce6 Ce 0.359 0.694 0.694
Ce7 Ce 0.641 0.306 0.306
Ce8 Ce 0.693 0.027 0.027
Ce9 Ce 0.694 0.359 0.694
Ce10 Ce 0.694 0.694 0.359
Ce11 Ce 0.973 0.307 0.973
Ce12 Ce 0.973 0.973 0.307
Pu1 Pu 0.000 0.000 0.000
Pu2 Pu 0.500 0.500 0.500
In1 In 0.034 0.356 0.356
In2 In 0.356 0.034 0.356
In3 In 0.356 0.356 0.034
In4 In 0.644 0.644 0.966
In5 In 0.644 0.966 0.644
In6 In 0.966 0.644 0.644
# energy of formation = -0.28 eV/atom


# PBE InCuGe2, relaxed
data_InCuGe2
_chemical_formula_sum 'In2 Cu2 Ge4'
_symmetry_space_group_name_H-M 'P 1'
_symmetry_Int_Tables_number 1
_cell_length_a 8.665
_cell_length_b 8.665
_cell_length_c 8.665
_cell_angle_alpha 149.48
_cell_angle_beta 149.48
_cell_angle_gamma 43.71
loop_
_symmetry_equiv_pos_as_xyz
'x,y,z'
loop_
_atom_site_label
_atom_site_type_symbol
_atom_site_fract_x
_atom_site_fract_y
_atom_site_fract_z
In1 In 0.000 0.000 0.000
In2 In 0.750 0.250 0.500
Cu1 Cu 0.250 0.750 0.500
Cu2 Cu 0.500 0.500 0.000
Ge1 Ge 0.206 0.625 0.081
Ge2 Ge 0.375 0.456 0.581
Ge3 Ge 0.544 0.125 0.919
Ge4 Ge 0.875 0.794 0.419
# energy of formation = 0.17 eV/atom


| no. | DOS(E_F) (states/eV/atom) | E (eV/atom) |
| --- | --- | --- |
| 1 | 1.79 | -6.73 |
| 2 | 1.20 | -7.08 |
| 3 | 0.20 | -3.28 |
| 4 | 0.83 | -7.99 |
| 5 | 1.84 | -6.10 |
| 6 | 0.00 | -3.85 |